# KCuCl

A relaxed structure of KCuCl (PBE, the Alexandria database).

The calculation puts the energy relative to the elements, uncorrected at -0.15 eV per atom. The value obtained for the offset from the most stable computed form is 0.191 eV/atom.

It has space group F-43m (No. 216), with a = 7.0725 Å, b = 7.0725 Å, c = 7.0725 Å, α = 90.00°, β = 90.00° and γ = 90.00°. Symmetry generates all atoms from K at (0.0000, 0.0000, 0.0000), Cu at (0.2500, 0.2500, 0.7500) and Cl at (0.0000, 0.0000, 0.5000).

=====

# Hf2ScNbC4

A relaxed structure of Hf2ScNbC4 (PBE, the Alexandria database).

For the energy of formation from the pure elements, the calculation gives -0.75 eV per atom.

It has space group P2/m (No. 10), with a = 5.6216 Å, b = 3.2577 Å, c = 5.6450 Å, α = 90.00°, β = 109.25° and γ = 90.00°. Symmetry generates all atoms from Hf at (0.0000, 0.0000, 0.0000), Hf at (0.0000, 0.5000, 0.5000), Sc at (0.5000, 0.0000, 0.5000), Nb at (0.5000, 0.5000, 0.0000), C at (0.2499, 0.5000, 0.2430) and C at (0.2541, 0.0000, 0.7555).

=====

# ReHg2Mo

A relaxed structure of ReHg2Mo (PBE, the Alexandria database).

For the energy of formation from the pure elements, the calculation gives 0.49 eV per atom. The value obtained for the offset from the most stable computed form is 0.077 eV/atom.

It has space group Cmm2 (No. 35), with a = 3.1222 Å, b = 4.8714 Å, c = 10.0134 Å, α = 90.00°, β = 90.00° and γ = 90.00°. Symmetry generates all atoms from Re at (0.0000, 0.0000, 0.0000), Hg at (0.0000, 0.0000, 0.5458), Hg at (0.0000, 0.5000, 0.2592) and Mo at (0.0000, 0.5000, 0.8029).

=====

Record order is preserved below.
Total magnetization: 0.00 0.00 0.00 μB/f.u.